# SCAN KPbSe2, single point on PBEsol structure
# energy relative to the elements, uncorrected = -606.1 meV per atom
data_KPbSe2
_cell_length_a 5.1326
_cell_length_b 5.1326
_cell_length_c 5.1326
_cell_angle_alpha 101.45
_cell_angle_beta 113.62
_cell_angle_gamma 113.62
_symmetry_space_group_name_H-M 'P 1'
_symmetry_Int_Tables_number 1
loop_
_symmetry_equiv_pos_as_xyz
'x,y,z'
loop_
_atom_site_label
_atom_site_fract_x
_atom_site_fract_y
_atom_site_fract_z
K1 0.0000 0.5000 0.5000
Pb1 0.0000 0.0000 0.0000
Se1 0.5000 0.7500 0.2500
Se2 0.5000 0.2500 0.7500


# SCAN KPb3Se, single point on PBEsol structure
# energy relative to the elements, uncorrected = 1105.0 meV per atom
data_KPb3Se
_cell_length_a 5.8235
_cell_length_b 5.8235
_cell_length_c 5.8235
_cell_angle_alpha 90.00
_cell_angle_beta 90.00
_cell_angle_gamma 90.00
_symmetry_space_group_name_H-M 'P 1'
_symmetry_Int_Tables_number 1
loop_
_symmetry_equiv_pos_as_xyz
'x,y,z'
loop_
_atom_site_label
_atom_site_fract_x
_atom_site_fract_y
_atom_site_fract_z
Pb1 0.0000 0.5000 0.0000
Pb2 0.0000 0.0000 0.5000
Pb3 0.5000 0.0000 0.0000
K1 0.0000 0.0000 0.0000
Se1 0.5000 0.5000 0.5000


# SCAN K2SiPb, single point on PBEsol structure
# distance to the lowest polymorph of the same formula = 130 kJ/mol of formula units
# energy relative to the elements, uncorrected = 328.4 meV per atom
data_K2SiPb
_cell_length_a 5.6010
_cell_length_b 5.6010
_cell_length_c 5.6010
_cell_angle_alpha 60.00
_cell_angle_beta 60.00
_cell_angle_gamma 60.00
_symmetry_space_group_name_H-M 'P 1'
_symmetry_Int_Tables_number 1
loop_
_symmetry_equiv_pos_as_xyz
'x,y,z'
loop_
_atom_site_label
_atom_site_fract_x
_atom_site_fract_y
_atom_site_fract_z
K1 0.2500 0.2500 0.2500
K2 0.7500 0.7500 0.7500
Pb1 0.0000 0.0000 0.0000
Si1 0.5000 0.5000 0.5000


# SCAN K2SiPb, single point on PBEsol structure
# distance to the lowest polymorph of the same formula = 91 kJ/mol of formula units
# energy relative to the elements, uncorrected = 227.2 meV per atom
data_K2SiPb
_cell_length_a 4.5227
_cell_length_b 4.5236
_cell_length_c 6.4085
_cell_angle_alpha 110.67
_cell_angle_beta 110.66
_cell_angle_gamma 90.00
_symmetry_space_group_name_H-M 'P 1'
_symmetry_Int_Tables_number 1
loop_
_symmetry_equiv_pos_as_xyz
'x,y,z'
loop_
_atom_site_label
_atom_site_fract_x
_atom_site_fract_y
_atom_site_fract_z
K1 0.7500 0.7500 0.4999
K2 0.2500 0.2500 0.5001
Pb1 0.5000 0.0000 0.0000
Si1 0.0000 0.5000 0.0000


# SCAN K2Si2Pb, single point on PBEsol structure
# energy relative to the elements, uncorrected = 248.3 meV per atom
data_K2Si2Pb
_cell_length_a 4.6494
_cell_length_b 4.6494
_cell_length_c 7.5359
_cell_angle_alpha 107.97
_cell_angle_beta 107.97
_cell_angle_gamma 90.00
_symmetry_space_group_name_H-M 'P 1'
_symmetry_Int_Tables_number 1
loop_
_symmetry_equiv_pos_as_xyz
'x,y,z'
loop_
_atom_site_label
_atom_site_fract_x
_atom_site_fract_y
_atom_site_fract_z
Pb1 0.0000 0.0000 0.0000
K1 0.2500 0.7500 0.5000
K2 0.7500 0.2500 0.5000
Si1 0.4198 0.4198 0.8397
Si2 0.5802 0.5802 0.1603


# SCAN K2SiPb, single point on PBEsol structure
# distance to the lowest polymorph of the same formula = 0 kJ/mol of formula units
# energy relative to the elements, uncorrected = -9.6 meV per atom
data_K2SiPb
_cell_length_a 4.4367
_cell_length_b 4.4367
_cell_length_c 9.7426
_cell_angle_alpha 76.84
_cell_angle_beta 76.84
_cell_angle_gamma 60.00
_symmetry_space_group_name_H-M 'P 1'
_symmetry_Int_Tables_number 1
loop_
_symmetry_equiv_pos_as_xyz
'x,y,z'
loop_
_atom_site_label
_atom_site_fract_x
_atom_site_fract_y
_atom_site_fract_z
K1 0.9672 0.9672 0.0985
K2 0.7778 0.7778 0.6666
Pb1 0.5262 0.5262 0.4213
Si1 0.2288 0.2288 0.3136


# SCAN KSiPb3, single point on PBEsol structure
# energy relative to the elements, uncorrected = 238.9 meV per atom
data_KSiPb3
_cell_length_a 5.5001
_cell_length_b 5.5001
_cell_length_c 5.5001
_cell_angle_alpha 90.00
_cell_angle_beta 90.00
_cell_angle_gamma 90.00
_symmetry_space_group_name_H-M 'P 1'
_symmetry_Int_Tables_number 1
loop_
_symmetry_equiv_pos_as_xyz
'x,y,z'
loop_
_atom_site_label
_atom_site_fract_x
_atom_site_fract_y
_atom_site_fract_z
Pb1 0.0000 0.5000 0.0000
Pb2 0.0000 0.0000 0.5000
Pb3 0.5000 0.0000 0.0000
K1 0.5000 0.5000 0.5000
Si1 0.0000 0.0000 0.0000


# SCAN KSi3Pb, single point on PBEsol structure
# energy relative to the elements, uncorrected = 1221.0 meV per atom
data_KSi3Pb
_cell_length_a 5.4096
_cell_length_b 5.4096
_cell_length_c 5.4096
_cell_angle_alpha 90.00
_cell_angle_beta 90.00
_cell_angle_gamma 90.00
_symmetry_space_group_name_H-M 'P 1'
_symmetry_Int_Tables_number 1
loop_
_symmetry_equiv_pos_as_xyz
'x,y,z'
loop_
_atom_site_label
_atom_site_fract_x
_atom_site_fract_y
_atom_site_fract_z
Pb1 0.0000 0.0000 0.0000
K1 0.5000 0.5000 0.5000
Si1 0.0000 0.5000 0.0000
Si2 0.0000 0.0000 0.5000
Si3 0.5000 0.0000 0.0000


# SCAN KSn2Pb2, single point on PBEsol structure
# distance to the lowest polymorph of the same formula = 40 kJ/mol of formula units
# energy of formation from the pure elements = -0.085 eV/atom
data_KSn2Pb2
_cell_length_a 3.6344
_cell_length_b 9.2296
_cell_length_c 9.2296
_cell_angle_alpha 90.00
_cell_angle_beta 90.00
_cell_angle_gamma 90.00
_symmetry_space_group_name_H-M 'P 1'
_symmetry_Int_Tables_number 1
loop_
_symmetry_equiv_pos_as_xyz
'x,y,z'
loop_
_atom_site_label
_atom_site_fract_x
_atom_site_fract_y
_atom_site_fract_z
Pb1 0.0000 0.3639 0.8639
Pb2 0.0000 0.8639 0.6361
Pb3 0.0000 0.6361 0.1361
Pb4 0.0000 0.1361 0.3639
K1 0.0000 0.0000 0.0000
K2 0.0000 0.5000 0.5000
Sn1 0.5000 0.1545 0.6545
Sn2 0.5000 0.6545 0.8455
Sn3 0.5000 0.8455 0.3455
Sn4 0.5000 0.3455 0.1545


# SCAN KSn2Pb2, single point on PBEsol structure
# distance to the lowest polymorph of the same formula = 0 kJ/mol of formula units
# energy of formation from the pure elements = -0.169 eV/atom
data_KSn2Pb2
_cell_length_a 5.0108
_cell_length_b 5.0108
_cell_length_c 7.6968
_cell_angle_alpha 109.00
_cell_angle_beta 109.00
_cell_angle_gamma 90.00
_symmetry_space_group_name_H-M 'P 1'
_symmetry_Int_Tables_number 1
loop_
_symmetry_equiv_pos_as_xyz
'x,y,z'
loop_
_atom_site_label
_atom_site_fract_x
_atom_site_fract_y
_atom_site_fract_z
Pb1 0.3815 0.3815 0.7631
Pb2 0.6185 0.6185 0.2369
K1 0.0000 0.0000 0.0000
Sn1 0.2500 0.7500 0.5000
Sn2 0.7500 0.2500 0.5000


# SCAN KSnTe2Pb, single point on PBEsol structure
# energy relative to the elements, uncorrected = 22.1 meV per atom
data_KSnTe2Pb
_cell_length_a 5.6177
_cell_length_b 6.0507
_cell_length_c 6.0507
_cell_angle_alpha 90.00
_cell_angle_beta 90.00
_cell_angle_gamma 90.00
_symmetry_space_group_name_H-M 'P 1'
_symmetry_Int_Tables_number 1
loop_
_symmetry_equiv_pos_as_xyz
'x,y,z'
loop_
_atom_site_label
_atom_site_fract_x
_atom_site_fract_y
_atom_site_fract_z
Pb1 0.0000 0.0000 0.0000
K1 0.5000 0.5000 0.5000
Te1 0.0000 0.0000 0.5000
Te2 0.0000 0.5000 0.0000
Sn1 0.5000 0.0000 0.0000


# SCAN K2SrPb, single point on PBEsol structure
# energy of formation from the pure elements = -0.269 eV/atom
data_K2SrPb
_cell_length_a 4.1901
_cell_length_b 4.1901
_cell_length_c 11.0165
_cell_angle_alpha 90.00
_cell_angle_beta 90.00
_cell_angle_gamma 90.00
_symmetry_space_group_name_H-M 'P 1'
_symmetry_Int_Tables_number 1
loop_
_symmetry_equiv_pos_as_xyz
'x,y,z'
loop_
_atom_site_label
_atom_site_fract_x
_atom_site_fract_y
_atom_site_fract_z
K1 0.0000 0.0000 0.9838
K2 0.5000 0.5000 0.3198
Pb1 0.0000 0.0000 0.5216
Sr1 0.5000 0.5000 0.6747


# SCAN K3SrPb, single point on PBEsol structure
# energy of formation from the pure elements = 0.742 eV/atom
data_K3SrPb
_cell_length_a 7.0745
_cell_length_b 7.0745
_cell_length_c 7.0745
_cell_angle_alpha 90.00
_cell_angle_beta 90.00
_cell_angle_gamma 90.00
_symmetry_space_group_name_H-M 'P 1'
_symmetry_Int_Tables_number 1
loop_
_symmetry_equiv_pos_as_xyz
'x,y,z'
loop_
_atom_site_label
_atom_site_fract_x
_atom_site_fract_y
_atom_site_fract_z
Pb1 0.5000 0.5000 0.5000
Sr1 0.0000 0.0000 0.0000
K1 0.0000 0.5000 0.0000
K2 0.0000 0.0000 0.5000
K3 0.5000 0.0000 0.0000


# SCAN KSr2Pb, single point on PBEsol structure
# energy of formation from the pure elements = -0.297 eV/atom
data_KSr2Pb
_cell_length_a 4.9110
_cell_length_b 5.5782
_cell_length_c 5.5782
_cell_angle_alpha 90.00
_cell_angle_beta 90.00
_cell_angle_gamma 90.00
_symmetry_space_group_name_H-M 'P 1'
_symmetry_Int_Tables_number 1
loop_
_symmetry_equiv_pos_as_xyz
'x,y,z'
loop_
_atom_site_label
_atom_site_fract_x
_atom_site_fract_y
_atom_site_fract_z
K1 0.5000 0.0000 0.0000
Pb1 0.5000 0.5000 0.5000
Sr1 0.0000 0.5000 0.0000
Sr2 0.0000 0.0000 0.5000


# SCAN K2TaPb, single point on PBEsol structure
# energy of formation from the pure elements = 0.874 eV/atom
data_K2TaPb
_cell_length_a 3.1749
_cell_length_b 3.1749
_cell_length_c 12.7411
_cell_angle_alpha 82.84
_cell_angle_beta 82.84
_cell_angle_gamma 60.00
_symmetry_space_group_name_H-M 'P 1'
_symmetry_Int_Tables_number 1
loop_
_symmetry_equiv_pos_as_xyz
'x,y,z'
loop_
_atom_site_label
_atom_site_fract_x
_atom_site_fract_y
_atom_site_fract_z
K1 0.2495 0.2495 0.2514
K2 0.7505 0.7505 0.7486
Pb1 0.0000 0.0000 0.0000
Ta1 0.5000 0.5000 0.5000


# SCAN KTcPb, single point on PBEsol structure
# energy of formation from the pure elements = 0.890 eV/atom
data_KTcPb
_cell_length_a 3.1637
_cell_length_b 5.1193
_cell_length_c 5.1193
_cell_angle_alpha 120.00
_cell_angle_beta 90.00
_cell_angle_gamma 90.00
_symmetry_space_group_name_H-M 'P 1'
_symmetry_Int_Tables_number 1
loop_
_symmetry_equiv_pos_as_xyz
'x,y,z'
loop_
_atom_site_label
_atom_site_fract_x
_atom_site_fract_y
_atom_site_fract_z
K1 0.5000 0.0000 0.0000
Pb1 0.0000 0.6667 0.3333
Tc1 0.0000 0.3333 0.6667


# SCAN KTePb2, single point on PBEsol structure
# energy relative to the elements, uncorrected = -360.0 meV per atom
data_KTePb2
_cell_length_a 4.3073
_cell_length_b 4.3073
_cell_length_c 7.1261
_cell_angle_alpha 90.00
_cell_angle_beta 90.00
_cell_angle_gamma 90.00
_symmetry_space_group_name_H-M 'P 1'
_symmetry_Int_Tables_number 1
loop_
_symmetry_equiv_pos_as_xyz
'x,y,z'
loop_
_atom_site_label
_atom_site_fract_x
_atom_site_fract_y
_atom_site_fract_z
K1 0.5000 0.5000 0.7382
Pb1 0.0000 0.0000 0.0433
Pb2 0.5000 0.5000 0.2559
Te1 0.0000 0.0000 0.4626


# SCAN KTePb4, single point on PBEsol structure
# energy relative to the elements, uncorrected = -68.5 meV per atom
data_KTePb4
_cell_length_a 6.4652
_cell_length_b 6.4652
_cell_length_c 6.4652
_cell_angle_alpha 60.00
_cell_angle_beta 60.00
_cell_angle_gamma 60.00
_symmetry_space_group_name_H-M 'P 1'
_symmetry_Int_Tables_number 1
loop_
_symmetry_equiv_pos_as_xyz
'x,y,z'
loop_
_atom_site_label
_atom_site_fract_x
_atom_site_fract_y
_atom_site_fract_z
K1 0.0000 0.0000 0.0000
Pb1 0.3750 0.3750 0.3750
Pb2 0.3750 0.3750 0.8750
Pb3 0.8750 0.3750 0.3750
Pb4 0.3750 0.8750 0.3750
Te1 0.7500 0.7500 0.7500


# SCAN K2TePb, single point on PBEsol structure
# energy relative to the elements, uncorrected = -371.8 meV per atom
data_K2TePb
_cell_length_a 5.8044
_cell_length_b 5.8044
_cell_length_c 5.8044
_cell_angle_alpha 60.00
_cell_angle_beta 60.00
_cell_angle_gamma 60.00
_symmetry_space_group_name_H-M 'P 1'
_symmetry_Int_Tables_number 1
loop_
_symmetry_equiv_pos_as_xyz
'x,y,z'
loop_
_atom_site_label
_atom_site_fract_x
_atom_site_fract_y
_atom_site_fract_z
K1 0.0000 0.0000 0.0000
K2 0.7500 0.7500 0.7500
Pb1 0.5000 0.5000 0.5000
Te1 0.2500 0.2500 0.2500


# SCAN K3TiPb, single point on PBEsol structure
# energy of formation from the pure elements = 0.772 eV/atom
data_K3TiPb
_cell_length_a 6.5925
_cell_length_b 6.5925
_cell_length_c 6.5925
_cell_angle_alpha 90.00
_cell_angle_beta 90.00
_cell_angle_gamma 90.00
_symmetry_space_group_name_H-M 'P 1'
_symmetry_Int_Tables_number 1
loop_
_symmetry_equiv_pos_as_xyz
'x,y,z'
loop_
_atom_site_label
_atom_site_fract_x
_atom_site_fract_y
_atom_site_fract_z
Pb1 0.0000 0.0000 0.0000
K1 0.0000 0.5000 0.0000
K2 0.0000 0.0000 0.5000
K3 0.5000 0.0000 0.0000
Ti1 0.5000 0.5000 0.5000


| no. | final energy (eV per cell) |
| --- | --- |
| 1 | -126.691 |
| 2 | -250.225 |
| 3 | -101.141 |
| 4 | -101.546 |
| 5 | -111.229 |
| 6 | -102.493 |
| 7 | -244.493 |
| 8 | -108.052 |
| 9 | -464.313 |
| 10 | -232.576 |
| 11 | -194.422 |
| 12 | -115.791 |
| 13 | -119.331 |
| 14 | -129.847 |
| 15 | -155.526 |
| 16 | -116.501 |
| 17 | -198.582 |
| 18 | -349.115 |
| 19 | -131.177 |
| 20 | -112.938 |